First-principles (PBE) data for a geometry-optimized ZnB3I structure, as listed in Alexandria via LeMat-Bulk.

a b c (Å): 4.456 4.456 4.456
angles (deg): 90.00 90.00 90.00
Space group Pm-3m (No. 221)
One atom of each set of equivalent atoms:
Zn 0.000 0.000 0.000 (multiplicity 1)
B 0.000 0.500 0.500 (multiplicity 3)
I 0.500 0.500 0.500 (multiplicity 1)

Properties
- E_tot (eV per cell) = -9.70
- formation energy from raw total energies (eV per formula unit) = 13.2
- V (Å³/cell) = 88.5
- polymorph energy (0 for the lowest one) (meV per atom) = 715
- magnetic moment (μB per formula unit) = 0.00

First-principles (PBE) data for a geometry-optimized Zn3BI structure, as listed in Alexandria via LeMat-Bulk.

a b c (Å): 5.596 5.596 5.596
angles (deg): 90.00 90.00 90.00
Space group Pm-3m (No. 221)
One atom of each set of equivalent atoms:
Zn 0.000 0.000 0.500 (multiplicity 3)
B 0.500 0.500 0.500 (multiplicity 1)
I 0.000 0.000 0.000 (multiplicity 1)

Properties
- E_tot (eV per cell) = -3.32
- formation energy from raw total energies (eV per formula unit) = 8.7
- V (Å³/cell) = 175.3
- polymorph energy (0 for the lowest one) (meV per atom) = 1495
- magnetic moment (μB per formula unit) = 0.00

Q: What is the E_tot in the first record?
A: -9.70 eV per cell